Here is crystalline Mg2BF at its relaxed geometry from Alexandria via LeMat-Bulk. Energies are from PBE.

Cell lengths 3.5285, 5.6477, 6.2574 Å; angles 71.57, 85.51, 74.32 degrees
Last column: nearest neighbours and their distance in Å.
Space group P-1 (No. 2)
Asymmetric unit:
Mg: 0.0271 0.4956 0.2633 (multiplicity 2)  2 F 2.02-2.15
Mg: 0.2146 0.9979 0.6823 (multiplicity 2)  1 F 2.02
B: 0.4389 0.6609 0.4685 (multiplicity 2)  1 B 1.67
F: 0.0613 0.7239 0.9445 (multiplicity 2)  3 Mg 2.02-2.15

## Properties
* spin magnetization: 0.000 μB per atom
* raw formation energy: -1.06 eV/atom

---

Here is crystalline LiMg14Zn at its relaxed geometry from Alexandria via LeMat-Bulk. Energies are from PBE.

Cell lengths 6.4356, 6.4356, 8.5466 Å; angles 90.00, 90.00, 90.00 degrees
Last column: nearest neighbours and their distance in Å.
Space group P4/mmm (No. 123)
Asymmetric unit:
Li: 0.0000 0.0000 0.0000 (multiplicity 1)  12 Mg 3.08-3.22
Mg: 0.0000 0.0000 0.5000 (multiplicity 1)  12 Mg 3.19-3.22
Mg: 0.0000 0.5000 0.0000 (multiplicity 2)  8 Mg 3.07, 2 Li 3.22, 2 Zn 3.22
Mg: 0.0000 0.5000 0.5000 (multiplicity 2)  12 Mg 3.18-3.22
Mg: 0.2516 0.2516 0.2407 (multiplicity 8)  1 Zn 3.06, 10 Mg 3.07-3.24, 1 Li 3.08
Mg: 0.5000 0.5000 0.5000 (multiplicity 1)  12 Mg 3.17-3.22
Zn: 0.5000 0.5000 0.0000 (multiplicity 1)  12 Mg 3.06-3.22

## Properties
* spin magnetization: 0.000 μB per atom
* E: -1.61 eV per atom

---

Here is crystalline BaNaNb2 at its relaxed geometry from Alexandria via LeMat-Bulk. Energies are from PBE.

Cell lengths 7.3149, 7.3149, 7.3149 Å; angles 90.00, 90.00, 90.00 degrees
Last column: nearest neighbours and their distance in Å.
Space group Fm-3m (No. 225)
Asymmetric unit:
Ba: 0.0000 0.0000 0.0000 (multiplicity 4)  8 Nb 3.17
Na: 0.0000 0.0000 0.5000 (multiplicity 4)  8 Nb 3.17
Nb: 0.2500 0.2500 0.2500 (multiplicity 8)  4 Na 3.17, 4 Ba 3.17

## Properties
* spin magnetization: 0.000 μB per atom
* E: -4.24 eV per atom

---

Here is crystalline DyErMnCo at its relaxed geometry from Alexandria via LeMat-Bulk. Energies are from PBE.

Cell lengths 6.8694, 6.8694, 6.8694 Å; angles 90.00, 90.00, 90.00 degrees
Last column: nearest neighbours and their distance in Å.
Space group F-43m (No. 216)
Asymmetric unit:
Dy: 0.0000 0.0000 0.0000 (multiplicity 4)  4 Mn 2.97, 4 Co 2.97
Er: 0.0000 0.0000 0.5000 (multiplicity 4)  4 Co 2.97, 4 Mn 2.97
Mn: 0.2500 0.2500 0.2500 (multiplicity 4)  4 Dy 2.97, 4 Er 2.97
Co: 0.2500 0.2500 0.7500 (multiplicity 4)  4 Dy 2.97, 4 Er 2.97

## Properties
* spin magnetization: 1.044 μB per atom
* E: -6.31 eV per atom